Entry 1:
# LiZnFe (meta-GGA SCAN, single point on PBEsol structure)
# Total DFT energy (no corrections): -10.813 eV per atom
# Total moment: 2.600 μB/f.u.
# Formation energy from the elements: 0.532 eV/atom
# Crystal system: cubic
# Distance to the lowest polymorph of the same formula: 446.6 meV/atom
data_LiZnFe
_chemical_formula_sum 'Li1 Zn1 Fe1'
_space_group_name_H-M_alt 'P 1'
_space_group_IT_number 1
_cell_length_a 4.0562
_cell_length_b 4.0562
_cell_length_c 4.0562
_cell_angle_alpha 60.00
_cell_angle_beta 60.00
_cell_angle_gamma 60.00
loop_
_space_group_symop_operation_xyz
'x,y,z'
loop_
_atom_site_label
_atom_site_type_symbol
_atom_site_fract_x
_atom_site_fract_y
_atom_site_fract_z
Fe1 Fe 0.2500 0.2500 0.2500
Li1 Li 0.0000 0.0000 0.0000
Zn1 Zn 0.5000 0.5000 0.5000

---

Entry 2:
# La2YAl (meta-GGA SCAN, single point on PBEsol structure)
# Total DFT energy (no corrections): -30.601 eV per atom
# Total moment: 0.084 μB/f.u.
# Formation energy from the elements: -0.149 eV/atom
# Crystal system: orthorhombic
data_La2YAl
_chemical_formula_sum 'La2 Y1 Al1'
_space_group_name_H-M_alt 'P 1'
_space_group_IT_number 1
_cell_length_a 3.6104
_cell_length_b 4.5236
_cell_length_c 7.0532
_cell_angle_alpha 90.00
_cell_angle_beta 90.00
_cell_angle_gamma 90.00
loop_
_space_group_symop_operation_xyz
'x,y,z'
loop_
_atom_site_label
_atom_site_type_symbol
_atom_site_fract_x
_atom_site_fract_y
_atom_site_fract_z
Y1 Y 0.5000 0.5000 0.0000
Al1 Al 0.5000 0.5000 0.5000
La1 La 0.0000 0.0000 0.7200
La2 La 0.0000 0.0000 0.2800

---

Entry 3:
# CaCoAs3 (meta-GGA SCAN, single point on PBEsol structure)
# Total DFT energy (no corrections): -17.633 eV per atom
# Total moment: 2.340 μB/f.u.
# Formation energy from the elements: -0.125 eV/atom
# Crystal system: cubic
data_CaCoAs3
_chemical_formula_sum 'Ca1 Co1 As3'
_space_group_name_H-M_alt 'P 1'
_space_group_IT_number 1
_cell_length_a 4.6375
_cell_length_b 4.6375
_cell_length_c 4.6375
_cell_angle_alpha 90.00
_cell_angle_beta 90.00
_cell_angle_gamma 90.00
loop_
_space_group_symop_operation_xyz
'x,y,z'
loop_
_atom_site_label
_atom_site_type_symbol
_atom_site_fract_x
_atom_site_fract_y
_atom_site_fract_z
As1 As 0.0000 0.5000 0.0000
As2 As 0.0000 0.0000 0.5000
As3 As 0.5000 0.0000 0.0000
Co1 Co 0.0000 0.0000 0.0000
Ca1 Ca 0.5000 0.5000 0.5000